Below is crystalline AcSmZn2In2 at its relaxed geometry, with properties calculated at the GGA-PBE level. Values from VASP.

```
&SYSTEM
  ibrav = 0, nat = 6, ntyp = 4
/
ATOMIC_SPECIES
Zn 65.41 Zn.upf
In 114.82 In.upf
Ac 227.00 Ac.upf
Sm 150.36 Sm.upf
ATOMIC_POSITIONS crystal
Zn 0.667 0.333 0.300
Zn 0.333 0.667 0.700
In 0.333 0.667 0.277
In 0.667 0.333 0.723
Ac 0.000 0.000 0.000
Sm 0.000 0.000 0.500
CELL_PARAMETERS angstrom
-3.755 1.934 2.230
3.193 -2.550 2.473
4.225 6.619 1.372
```



Below is crystalline AcSmZnIn at its relaxed geometry, with properties calculated at the GGA-PBE level. Values from VASP.

Values from the calculation:
Excess energy over the best structure of this formula in the dataset (meV per atom): 34.6

```
&SYSTEM
  ibrav = 0, nat = 4, ntyp = 4
/
ATOMIC_SPECIES
In 114.82 In.upf
Ac 227.00 Ac.upf
Zn 65.41 Zn.upf
Sm 150.36 Sm.upf
ATOMIC_POSITIONS crystal
In 0.500 0.500 0.500
Ac 0.250 0.250 0.250
Zn 0.000 0.000 0.000
Sm 0.750 0.750 0.750
CELL_PARAMETERS angstrom
-4.885 1.391 -2.155
-4.475 0.213 3.220
-2.276 4.871 1.241
```



Below is crystalline AcSmZnIn at its relaxed geometry, with properties calculated at the GGA-PBE level. Values from VASP.

Values from the calculation:
Excess energy over the best structure of this formula in the dataset (meV per atom): 0.0

```
&SYSTEM
  ibrav = 0, nat = 4, ntyp = 4
/
ATOMIC_SPECIES
Ac 227.00 Ac.upf
Zn 65.41 Zn.upf
Sm 150.36 Sm.upf
In 114.82 In.upf
ATOMIC_POSITIONS crystal
Ac 0.500 0.500 0.123
Zn 0.000 0.000 0.388
Sm 0.500 0.500 0.587
In 0.000 0.000 0.829
CELL_PARAMETERS angstrom
-3.211 0.886 1.925
-1.590 -3.317 -1.126
2.862 -3.547 6.407
```



Below is crystalline Ac3In2Sn4 at its relaxed geometry, with properties calculated at the GGA-PBE level. Values from VASP.

```
&SYSTEM
  ibrav = 0, nat = 9, ntyp = 3
/
ATOMIC_SPECIES
Ac 227.00 Ac.upf
In 114.82 In.upf
Sn 118.71 Sn.upf
ATOMIC_POSITIONS crystal
Ac 0.631 0.262 0.691
Ac 0.000 0.000 0.000
Ac 0.369 0.738 0.309
In 0.323 0.646 0.670
In 0.677 0.354 0.330
Sn 0.290 0.581 0.946
Sn 0.710 0.419 0.054
Sn 0.081 0.161 0.398
Sn 0.919 0.839 0.602
CELL_PARAMETERS angstrom
4.883 0.000 0.000
-2.442 6.324 -0.557
0.000 -3.390 9.617
```



Below is crystalline Ac4In5Sn6 at its relaxed geometry, with properties calculated at the GGA-PBE level. Values from VASP.

```
&SYSTEM
  ibrav = 0, nat = 30, ntyp = 3
/
ATOMIC_SPECIES
Sn 118.71 Sn.upf
In 114.82 In.upf
Ac 227.00 Ac.upf
ATOMIC_POSITIONS crystal
Sn 0.573 0.145 0.930
Sn 0.546 0.092 0.345
Sn 0.212 0.423 0.476
Sn 0.097 0.194 0.114
Sn 0.454 0.908 0.845
Sn 0.585 0.171 0.633
Sn 0.236 0.473 0.766
Sn 0.903 0.806 0.614
Sn 0.415 0.829 0.133
Sn 0.427 0.855 0.430
Sn 0.788 0.577 0.976
Sn 0.764 0.527 0.266
In 0.338 0.676 0.294
In 0.838 0.676 0.127
In 0.640 0.280 0.463
In 0.314 0.628 0.613
In 0.162 0.324 0.627
In 0.360 0.720 0.963
In 0.686 0.372 0.113
In 0.457 0.914 0.677
In 0.543 0.086 0.177
In 0.662 0.324 0.794
Ac 0.950 0.900 0.269
Ac 0.154 0.308 0.295
Ac 0.973 0.945 0.999
Ac 0.050 0.100 0.769
Ac 0.027 0.055 0.499
Ac 0.819 0.638 0.454
Ac 0.846 0.692 0.795
Ac 0.181 0.362 0.954
CELL_PARAMETERS angstrom
4.928 0.000 0.000
-2.464 11.002 0.000
0.000 0.000 17.772
```



Below is crystalline AcInSn4 at its relaxed geometry, with properties calculated at the GGA-PBE level. Values from VASP.

Values from the calculation:
Excess energy over the best structure of this formula in the dataset (meV per atom): 0.0

```
&SYSTEM
  ibrav = 0, nat = 6, ntyp = 3
/
ATOMIC_SPECIES
Sn 118.71 Sn.upf
In 114.82 In.upf
Ac 227.00 Ac.upf
ATOMIC_POSITIONS crystal
Sn 0.288 0.046 0.378
Sn 0.288 0.378 0.046
Sn 0.712 0.622 0.954
Sn 0.712 0.954 0.622
In 0.000 0.000 0.000
Ac 0.500 0.500 0.500
CELL_PARAMETERS angstrom
-2.132 -3.644 1.826
0.511 -5.378 -4.343
3.352 -1.992 5.731
```



Below is crystalline Ac7InSn4 at its relaxed geometry, with properties calculated at the GGA-PBE level. Values from VASP.

```
&SYSTEM
  ibrav = 0, nat = 12, ntyp = 3
/
ATOMIC_SPECIES
Ac 227.00 Ac.upf
Sn 118.71 Sn.upf
In 114.82 In.upf
ATOMIC_POSITIONS crystal
Ac 0.931 0.412 0.726
Ac 0.500 0.000 0.000
Ac 0.162 0.068 0.608
Ac 0.069 0.588 0.274
Ac 0.838 0.932 0.392
Ac 0.708 0.409 0.175
Ac 0.292 0.591 0.825
Sn 0.552 0.307 0.589
Sn 0.448 0.693 0.411
Sn 0.720 0.763 0.798
Sn 0.280 0.237 0.202
In 0.000 0.000 0.000
CELL_PARAMETERS angstrom
-2.665 5.240 1.721
-7.668 -2.008 5.141
0.211 0.479 9.767
```



Below is crystalline Ac4In3Sn at its relaxed geometry, with properties calculated at the GGA-PBE level. Values from VASP.

```
&SYSTEM
  ibrav = 0, nat = 8, ntyp = 3
/
ATOMIC_SPECIES
In 114.82 In.upf
Ac 227.00 Ac.upf
Sn 118.71 Sn.upf
ATOMIC_POSITIONS crystal
In 0.000 0.500 0.576
In 0.500 0.000 0.923
In 0.000 0.000 0.423
Ac 0.500 0.000 0.640
Ac 0.500 0.500 0.361
Ac 0.000 0.000 0.140
Ac 0.000 0.500 0.859
Sn 0.500 0.500 0.078
CELL_PARAMETERS angstrom
5.006 0.000 0.000
0.000 4.627 0.000
0.000 0.000 12.494
```



| no. | formation energy from the elements (kJ/mol of atoms) | raw total energy (eV/atom) |
| --- | --- | --- |
| 1 | -42.7 | -3.252 |
| 2 | -31.2 | -3.534 |
| 3 | -34.6 | -3.568 |
| 4 | -50.0 | -4.276 |
| 5 | -40.7 | -4.031 |
| 6 | -32.4 | -4.145 |
| 7 | -40.0 | -4.374 |
| 8 | -50.0 | -4.100 |